# 1
! Na2CdIn2Au5, optimized geometry, DFT PBE; values from VASP
! density of states at the Fermi level	4.82	states/eV/cell
! energy of formation	-220	meV/atom
&SYSTEM
  ibrav = 0, nat = 20, ntyp = 4
/
ATOMIC_SPECIES
Na 22.99 Na.upf
Cd 112.41 Cd.upf
In 114.82 In.upf
Au 196.97 Au.upf
CELL_PARAMETERS angstrom
-1.8391 2.1317 -2.0772
3.5406 -5.8130 -9.1002
-8.9957 -6.8855 0.8984
ATOMIC_POSITIONS angstrom
Na 0.8599 -5.0258 -5.9189
Na -6.3150 -7.6727 -2.2829
Na -2.4056 -3.2638 -1.2195
Na -3.0495 -9.4348 -6.9823
Cd 0.0000 0.0000 0.0000
Cd -2.7276 -6.3493 -4.1009
In -5.2448 -5.1814 -0.6738
In -0.2104 -7.5171 -7.5280
In -5.5090 -9.6452 -5.0207
In 0.0538 -3.0534 -3.1811
Au -0.9241 -0.4907 -2.6319
Au -6.3701 -10.0762 -7.6471
Au -8.0205 -4.9849 -0.9611
Au -2.3523 -5.8454 -6.8625
Au 0.7262 -5.5820 -9.3179
Au -4.9419 -4.7215 -3.4165
Au -5.0305 -6.9579 -5.6330
Au -2.2637 -3.6090 -4.6460
Au 0.8508 -1.8407 -5.5887
Au -5.4174 -2.3769 -0.5894

# 2
! NbCdIn2Au, optimized geometry, DFT PBE; values from VASP
! density of states at the Fermi level	4.79	states/eV/cell
! energy of formation	1106	meV/atom
&SYSTEM
  ibrav = 0, nat = 5, ntyp = 4
/
ATOMIC_SPECIES
Nb 92.91 Nb.upf
Cd 112.41 Cd.upf
Au 196.97 Au.upf
In 114.82 In.upf
CELL_PARAMETERS angstrom
-3.2049 2.2289 3.5785
-3.2060 -3.9705 -0.3982
2.6024 -2.4906 3.8820
ATOMIC_POSITIONS angstrom
Nb -1.9042 -2.1161 3.5311
Cd 0.0000 0.0000 0.0000
Au -1.6030 -1.9853 -0.1991
In 1.3012 -1.2453 1.9410
In -1.6025 1.1144 1.7893

# 3
! NdCd2In2Au2, optimized geometry, DFT PBE; values from VASP
! density of states at the Fermi level	4.19	states/eV/cell
! energy of formation	-367	meV/atom
&SYSTEM
  ibrav = 0, nat = 7, ntyp = 4
/
ATOMIC_SPECIES
Nd 144.24 Nd.upf
Cd 112.41 Cd.upf
In 114.82 In.upf
Au 196.97 Au.upf
CELL_PARAMETERS angstrom
-3.1716 -1.6456 3.2078
-0.2532 -4.7040 0.9304
4.6718 -1.1996 7.5977
ATOMIC_POSITIONS angstrom
Nd 0.0000 0.0000 0.0000
Cd 2.3005 -1.5736 5.0612
Cd -1.0536 -5.9756 6.6746
In 0.9928 -5.6528 8.8635
In 0.2541 -1.8964 2.8724
Au -1.1818 -4.0594 3.9369
Au 2.4288 -3.4899 7.7990

# 4
! CdInNiAu, optimized geometry, DFT PBE; values from VASP
! density of states at the Fermi level	2.20	states/eV/cell
! energy of formation	-34	meV/atom
&SYSTEM
  ibrav = 0, nat = 4, ntyp = 4
/
ATOMIC_SPECIES
Ni 58.69 Ni.upf
Cd 112.41 Cd.upf
Au 196.97 Au.upf
In 114.82 In.upf
CELL_PARAMETERS angstrom
-2.6391 3.7384 0.8592
-1.0306 1.1632 4.3891
1.8969 3.8000 1.9080
ATOMIC_POSITIONS angstrom
Ni -1.3296 6.5262 5.3672
Cd -0.8864 4.3508 3.5781
Au -0.4432 2.1754 1.7891
In 0.0000 0.0000 0.0000

# 5
! NpCdInAu, optimized geometry, DFT PBE; values from VASP
! density of states at the Fermi level	7.60	states/eV/cell
! energy of formation	-19	meV/atom
&SYSTEM
  ibrav = 0, nat = 4, ntyp = 4
/
ATOMIC_SPECIES
Np 237.00 Np.upf
Cd 112.41 Cd.upf
Au 196.97 Au.upf
In 114.82 In.upf
CELL_PARAMETERS angstrom
5.0727 0.0000 0.0000
2.5363 4.3931 0.0000
2.5363 1.4644 4.1418
ATOMIC_POSITIONS angstrom
Np 5.0727 2.9287 2.0709
Cd 7.6090 4.3931 3.1064
Au 2.5363 1.4644 1.0355
In 0.0000 0.0000 0.0000

# 6
! CdInAuO4, optimized geometry, DFT PBE; values from VASP
! raw formation energy	-49	kJ/mol of atoms
! density of states at the Fermi level	6.97	states/eV/cell
&SYSTEM
  ibrav = 0, nat = 14, ntyp = 4
/
ATOMIC_SPECIES
Cd 112.41 Cd.upf
In 114.82 In.upf
Au 196.97 Au.upf
O 16.00 O.upf
CELL_PARAMETERS angstrom
6.0374 -0.3270 0.0000
-2.7246 5.3976 0.0000
0.0000 0.0000 6.6098
ATOMIC_POSITIONS angstrom
Cd 1.6564 2.5353 3.3049
Cd 1.6564 2.5353 0.0000
In 4.5133 0.6687 1.6525
In -1.2005 4.4018 4.9574
Au -1.4907 4.5914 1.6525
Au 4.8035 0.4791 4.9574
O 0.8908 1.0599 4.9574
O 2.7000 3.8291 4.9574
O 3.5607 1.2911 6.5135
O 3.5607 1.2911 3.4012
O -0.2479 3.7794 0.0963
O -0.2479 3.7794 3.2086
O 2.4220 4.0107 1.6525
O 0.6128 1.2415 1.6525